Record 1
A plane-wave DFT calculation with PBE was carried out for a relaxed SbPRh2 crystal.

abc: 3.4378 3.4378 5.5974
angles: 90.00 90.00 90.00
With the nearest neighbours (Å) after each atom.
Space group P4mm (No. 99)
Inequivalent atoms, fractional coordinates:
Sb1 0.0000 0.0000 0.0000  6 Rh 2.67-2.90
P1 0.5000 0.5000 0.3969  5 Rh 2.28-2.48
Rh1 0.0000 0.0000 0.4820  4 P 2.48, 1 Sb 2.70
Rh2 0.5000 0.5000 0.8033  1 P 2.28

Calculated values
Energy relative to the lowest polymorph listed for this composition (eV/atom): 0.0347
Spin magnetization (μB/f.u.): 0.00
ΔE_f (raw) (eV/atom): -0.41



Record 2
A plane-wave DFT calculation with PBE was carried out for a relaxed Mn3SnH crystal.

abc: 17.0958 3.7707 3.8566
angles: 90.00 90.05 90.00
With the nearest neighbours (Å) after each atom.
Space group Cm (No. 8)
Inequivalent atoms, fractional coordinates:
Mn1 0.0000 0.0000 0.0000  2 H 1.93
Mn2 0.0040 0.5000 0.5000  3 H 1.88-1.89
Mn3 0.1060 0.5000 0.0003  4 Mn 2.60-2.62, 5 Sn 2.73-2.88
Mn4 0.2870 0.0000 0.4986  1 H 1.83
Mn5 0.3949 0.5000 0.4994  3 H 1.70-1.89
Mn6 0.4007 0.0000 0.9994  2 H 1.93
Sn1 0.1302 0.0000 0.5003  1 H 2.32
Sn2 0.2747 0.5000 0.9986  9 Mn 2.70-2.88
H1 0.3942 0.0000 0.4994  6 Mn 1.83-1.93
H2 0.4946 0.5000 0.4999  3 Mn 1.70-1.89

Calculated values
Spin magnetization (μB/f.u.): 3.17
Total DFT energy (no corrections) (eV/cell): -137.82



Record 3
A plane-wave DFT calculation with PBE was carried out for a relaxed MnCrIn2 crystal.

abc: 9.1326 3.1755 5.4553
angles: 90.00 101.59 90.00
With the nearest neighbours (Å) after each atom.
Space group C2/m (No. 12)
Inequivalent atoms, fractional coordinates:
Mn1 0.0000 0.0000 0.0000  6 In 2.88-2.89, 4 Cr 3.16, 2 Mn 3.18
Cr1 0.0000 0.5000 0.5000  6 In 2.89, 4 Mn 3.16, 2 Cr 3.18
In1 0.2499 0.0000 0.7504  3 Mn 2.88-2.89, 3 Cr 2.89, 6 In 3.15-3.18

Calculated values
Energy relative to the lowest polymorph listed for this composition (eV/atom): 0.1926
Spin magnetization (μB/f.u.): 7.09
E_form (meV/atom): 428



Record 4
A plane-wave DFT calculation with PBE was carried out for a relaxed PdS3Cl crystal.

abc: 6.4315 7.1561 4.8473
angles: 90.00 90.00 90.00
With the nearest neighbours (Å) after each atom.
Space group Pmn2_1 (No. 31)
Inequivalent atoms, fractional coordinates:
Pd1 0.0000 0.0010 0.0000  5 S 2.42-2.58, 1 Cl 2.55
S1 0.0000 0.7717 0.5906  2 S 2.11
S2 0.2295 0.8146 0.2855  1 S 2.11
Cl1 0.0000 0.2818 0.3255  1 Pd 2.55

Calculated values
Energy relative to the lowest polymorph listed for this composition (eV/atom): 0.0000
Spin magnetization (μB/f.u.): 0.00
ΔE_f (raw) (eV/atom): -0.12